{
  "formula": "Rb2MgAg2Cl6",
  "functional": "GGA-PBE",
  "state": "relaxed",
  "e_tot_ev_per_cell": -35.064,
  "dos_ef_per_ev_fu": 0.00,
  "rho_g_cm3": 3.116,
  "space_group": "No. 166",
  "lattice": [[7.729, 0.000, 0.000], [3.864, 6.693, 0.000], [3.864, 2.231, 6.425]],
  "species": ["Cl", "Ag", "Cl", "Cl", "Ag", "Rb", "Mg", "Rb", "Cl", "Cl", "Cl"],
  "fractional_positions": [[0.229, 0.229, 0.755], [0.579, 0.579, 0.263], [0.771, 0.214, 0.245], [0.214, 0.771, 0.245], [0.421, 0.421, 0.737], [0.775, 0.775, 0.674], [0.000, 0.000, 0.000], [0.225, 0.225, 0.326], [0.229, 0.786, 0.755], [0.771, 0.771, 0.245], [0.786, 0.229, 0.755]]
}

=====

{
  "formula": "Dy2PuAg",
  "functional": "GGA-PBE",
  "state": "relaxed",
  "e_tot_ev_per_cell": -26.568,
  "dos_ef_per_ev_fu": 8.82,
  "rho_g_cm3": 10.468,
  "formation_energy_ev_per_atom": -0.045,
  "space_group": "No. 123",
  "lattice": [[3.534, 0.000, 0.000], [0.000, 3.534, 0.000], [0.000, 0.000, 8.599]],
  "species": ["Ag", "Dy", "Dy", "Pu"],
  "fractional_positions": [[0.500, 0.500, 0.000], [0.000, 0.000, 0.781], [0.000, 0.000, 0.219], [0.500, 0.500, 0.500]]
}

=====

{
  "formula": "PmNpRu4",
  "functional": "GGA-PBE",
  "state": "relaxed",
  "e_tot_ev_per_cell": -55.202,
  "dos_ef_per_ev_fu": 10.92,
  "rho_g_cm3": 12.073,
  "formation_energy_ev_per_atom": -0.068,
  "space_group": "No. 216",
  "lattice": [[-2.509, -3.740, -2.883], [1.564, -1.008, -5.014], [2.479, -4.596, -1.155]],
  "species": ["Pm", "Ru", "Ru", "Ru", "Np", "Ru"],
  "fractional_positions": [[0.000, 0.000, 0.000], [0.126, 0.625, 0.625], [0.625, 0.126, 0.625], [0.625, 0.625, 0.625], [0.250, 0.250, 0.250], [0.625, 0.625, 0.126]]
}

=====

{
  "formula": "Dy2CdGe2Rh5",
  "functional": "GGA-PBE",
  "state": "relaxed",
  "e_tot_ev_per_cell": -127.338,
  "dos_ef_per_ev_fu": 1.44,
  "rho_g_cm3": 10.461,
  "formation_energy_ev_per_atom": -0.756,
  "space_group": "No. 127",
  "lattice": [[3.615, 0.000, 0.000], [0.000, 9.817, 0.000], [0.000, 0.000, 9.817]],
  "species": ["Cd", "Dy", "Dy", "Rh", "Rh", "Rh", "Rh", "Ge", "Rh", "Ge", "Rh", "Rh", "Rh", "Dy", "Ge", "Rh", "Ge", "Rh", "Dy", "Cd"],
  "fractional_positions": [[0.000, 0.500, 0.500], [0.000, 0.826, 0.674], [0.000, 0.326, 0.826], [0.500, 0.212, 0.068], [0.500, 0.288, 0.568], [0.500, 0.932, 0.212], [0.500, 0.568, 0.712], [0.000, 0.625, 0.875], [0.500, 0.712, 0.432], [0.000, 0.875, 0.375], [0.500, 0.000, 0.500], [0.500, 0.068, 0.788], [0.500, 0.500, 0.000], [0.000, 0.174, 0.326], [0.000, 0.125, 0.625], [0.500, 0.788, 0.932], [0.000, 0.375, 0.125], [0.500, 0.432, 0.288], [0.000, 0.674, 0.174], [0.000, 0.000, 0.000]]
}

=====

{
  "formula": "PmPrSmPb",
  "functional": "GGA-PBE",
  "state": "relaxed",
  "e_tot_ev_per_cell": -18.548,
  "dos_ef_per_ev_fu": 8.19,
  "rho_g_cm3": 8.512,
  "formation_energy_ev_per_atom": -0.148,
  "space_group": "No. 216",
  "lattice": [[-2.805, -3.754, -3.102], [2.374, -4.934, -1.268], [-1.913, -4.728, 2.360]],
  "species": ["Pm", "Sm", "Pr", "Pb"],
  "fractional_positions": [[0.250, 0.250, 0.250], [0.500, 0.500, 0.500], [0.750, 0.750, 0.750], [0.000, 0.000, 0.000]]
}

=====

{
  "formula": "Ho2ThSc",
  "functional": "GGA-PBE",
  "state": "relaxed",
  "e_tot_ev_per_cell": -22.741,
  "dos_ef_per_ev_fu": 5.50,
  "rho_g_cm3": 8.520,
  "formation_energy_ev_per_atom": 0.041,
  "space_group": "No. 123",
  "lattice": [[4.989, 0.000, 0.000], [0.000, 4.869, 0.000], [0.000, 0.000, 4.869]],
  "species": ["Ho", "Sc", "Th", "Ho"],
  "fractional_positions": [[0.000, 0.500, 0.000], [0.500, 0.000, 0.000], [0.500, 0.500, 0.500], [0.000, 0.000, 0.500]]
}

=====

{
  "formula": "Pm6SnGe2I3",
  "functional": "GGA-PBE",
  "state": "relaxed",
  "e_tot_ev_per_cell": -58.014,
  "dos_ef_per_ev_fu": 5.23,
  "rho_g_cm3": 6.566,
  "space_group": "No. 12",
  "lattice": [[4.395, 0.000, 0.000], [0.000, 9.147, 0.121], [-2.197, -2.846, 9.491]],
  "species": ["I", "I", "I", "Pm", "Ge", "Ge", "Pm", "Pm", "Sn", "Pm", "Pm", "Pm"],
  "fractional_positions": [[0.500, 0.500, 0.000], [0.835, 0.166, 0.671], [0.165, 0.834, 0.329], [0.337, 0.873, 0.674], [0.168, 0.339, 0.335], [0.832, 0.661, 0.665], [0.679, 0.559, 0.358], [0.984, 0.759, 0.968], [0.500, 0.000, 0.000], [0.321, 0.441, 0.642], [0.016, 0.241, 0.032], [0.663, 0.127, 0.326]]
}

=====

{
  "formula": "ScTl2Pb",
  "functional": "GGA-PBE",
  "state": "relaxed",
  "e_tot_ev_per_cell": -14.832,
  "dos_ef_per_ev_fu": 2.95,
  "rho_g_cm3": 10.166,
  "formation_energy_ev_per_atom": -0.015,
  "space_group": "No. 123",
  "lattice": [[-0.057, 2.037, 3.291], [-3.318, 1.670, -1.091], [-3.711, -5.279, 3.204]],
  "species": ["Pb", "Tl", "Tl", "Sc"],
  "fractional_positions": [[0.500, 0.500, 0.250], [0.000, 0.000, 0.517], [0.000, 0.000, 0.983], [0.500, 0.500, 0.750]]
}

=====

{
  "formula": "Pr12In5Sn2",
  "functional": "GGA-PBE",
  "state": "relaxed",
  "e_tot_ev_per_cell": -83.975,
  "dos_ef_per_ev_fu": 23.89,
  "rho_g_cm3": 6.524,
  "formation_energy_ev_per_atom": -0.259,
  "space_group": "No. 12",
  "lattice": [[-2.860, -3.052, -5.739], [10.022, 0.184, -0.699], [0.732, -8.552, 4.183]],
  "species": ["Pr", "Sn", "In", "In", "Pr", "Pr", "Sn", "Pr", "Pr", "Pr", "Pr", "Pr", "Pr", "In", "In", "Pr", "Pr", "In", "Pr"],
  "fractional_positions": [[0.415, 0.329, 0.057], [0.700, 0.000, 0.000], [0.768, 0.535, 0.258], [0.232, 0.465, 0.742], [0.086, 0.671, 0.943], [0.398, 0.306, 0.472], [0.300, 0.000, 0.000], [0.602, 0.694, 0.528], [0.483, 0.966, 0.308], [0.060, 0.121, 0.793], [0.517, 0.034, 0.692], [0.585, 0.671, 0.943], [0.914, 0.329, 0.057], [0.000, 0.000, 0.500], [0.710, 0.419, 0.749], [0.092, 0.694, 0.528], [0.908, 0.306, 0.472], [0.290, 0.581, 0.251], [0.940, 0.879, 0.207]]
}

=====

{
  "formula": "KZr2Os",
  "functional": "GGA-PBE",
  "state": "relaxed",
  "e_tot_ev_per_cell": -27.338,
  "dos_ef_per_ev_fu": 3.53,
  "rho_g_cm3": 7.291,
  "formation_energy_ev_per_atom": 0.521,
  "space_group": "No. 35",
  "lattice": [[3.058, 0.001, 0.000], [-1.219, 2.805, 0.000], [0.000, 0.000, 10.931]],
  "species": ["Zr", "Os", "K", "Zr"],
  "fractional_positions": [[0.000, 0.000, 0.968], [0.500, 0.500, 0.787], [0.000, 0.000, 0.534], [0.500, 0.500, 0.211]]
}

=====

{
  "formula": "Mg2CrFe",
  "functional": "GGA-PBE",
  "state": "relaxed",
  "e_tot_ev_per_cell": -20.497,
  "dos_ef_per_ev_fu": 2.70,
  "rho_g_cm3": 4.204,
  "formation_energy_ev_per_atom": 0.195,
  "space_group": "No. 99",
  "lattice": [[2.887, 0.000, 0.000], [0.000, 2.887, 0.000], [0.000, 0.000, 7.417]],
  "species": ["Mg", "Fe", "Mg", "Cr"],
  "fractional_positions": [[0.000, 0.000, 0.952], [0.500, 0.500, 0.703], [0.500, 0.500, 0.291], [0.000, 0.000, 0.554]]
}

=====

{
  "formula": "Mn5Cr2FeOs2",
  "functional": "GGA-PBE",
  "state": "relaxed",
  "e_tot_ev_per_cell": -186.531,
  "dos_ef_per_ev_fu": 11.48,
  "rho_g_cm3": 11.086,
  "formation_energy_ev_per_atom": 0.275,
  "space_group": "No. 127",
  "lattice": [[-3.047, 1.156, -1.921], [1.238, -5.780, -5.440], [-4.598, -5.011, 4.278]],
  "species": ["Cr", "Os", "Os", "Mn", "Fe", "Os", "Mn", "Mn", "Os", "Mn", "Mn", "Mn", "Mn", "Mn", "Mn", "Cr", "Mn", "Cr", "Cr", "Fe"],
  "fractional_positions": [[0.000, 0.378, 0.122], [0.000, 0.826, 0.674], [0.000, 0.674, 0.174], [0.500, 0.803, 0.938], [0.000, 0.500, 0.500], [0.000, 0.174, 0.326], [0.500, 0.062, 0.803], [0.500, 0.197, 0.062], [0.000, 0.326, 0.826], [0.500, 0.303, 0.562], [0.500, 0.500, 0.000], [0.500, 0.938, 0.197], [0.500, 0.562, 0.697], [0.500, 0.697, 0.438], [0.500, 0.438, 0.303], [0.000, 0.122, 0.622], [0.500, 0.000, 0.500], [0.000, 0.878, 0.378], [0.000, 0.622, 0.878], [0.000, 0.000, 0.000]]
}